This record from Alexandria describes Mg3Hg at its PBEsol-relaxed geometry. The functional is meta-GGA SCAN.

Structure (extended XYZ):
```
4
Lattice="-0.147 1.525 -2.875 -2.643 -1.485 1.194 -2.547 8.090 4.423" Properties=species:S:1:pos:R:3 pbc="T T T"
Mg -1.274 4.045 2.211
Mg -2.926 6.707 1.862
Mg -1.579 2.428 -0.477
Hg 0.000 0.000 0.000
```

Values from the calculation:
M_tot, Bohr magnetons per cell: 0.02
Crystal system: hexagonal
V, A^3/atom: 21.99
Density, Mg/m³: 5.2
Energy of formation from the pure elements, meV/atom: -132
VASP energy, eV/atom: -20.9035